Material: CsNi2S3
Method: DFT, PBE-GGA
State: optimized geometry

ΔE_f (raw) = -0.48 eV per atom
Total DFT energy (no corrections) = -55.39 eV/cell

a = 3.397 Å, b = 12.561 Å, c = 5.936 Å
α = 90.00°, β = 90.00°, γ = 90.00°
Positions (direct):
Cs (0.000, 0.121, 0.000)
Cs (0.000, 0.879, 0.500)
Ni (0.000, 0.257, 0.499)
Ni (0.000, 0.743, 0.999)
Ni (0.500, 0.500, 0.247)
Ni (0.500, 0.500, 0.747)
S (0.000, 0.429, 0.997)
S (0.000, 0.571, 0.497)
S (0.500, 0.141, 0.500)
S (0.500, 0.364, 0.497)
S (0.500, 0.636, 0.997)
S (0.500, 0.859, 0.000)